## Dy5Y4Tm (PBE-GGA)

Data for a geometry-optimized Dy5Y4Tm structure.

## Properties
As for the calculated formation energy: 0.06 eV/atom. The value obtained for the energy above the most stable polymorph in this dataset is 0 meV/atom. The total energy comes out at -5.28 eV per atom. For the total moment, the calculation gives 0.00 μB/f.u.

a b c (Å): 3.5553 6.7881 14.3443
angles (deg): 93.34 104.48 105.38
Positions (direct):
Dy: 0.9305 0.5829 0.3852
Dy: 0.2251 0.1256 0.4159
Dy: 0.7749 0.8744 0.5841
Dy: 0.5000 0.5000 0.0000
Dy: 0.0695 0.4171 0.6148
Y: 0.3553 0.8289 0.2098
Y: 0.8869 0.7017 0.8076
Y: 0.6447 0.1711 0.7902
Y: 0.1131 0.2983 0.1924
Tm: 0.5000 0.0000 0.0000